KZr2IN: optimized geometry, PBE.

```
KZr2IN
1.0
4.4067 0.0000 0.0000
0.0000 4.4067 0.0000
0.0000 0.0000 7.6731
K Zr I N
1 2 1 1
Cartesian
0.0000 0.0000 0.0000
0.0000 2.2034 3.8365
2.2034 0.0000 3.8365
2.2034 2.2034 0.0000
2.2034 2.2034 3.8365
```

symmetry = P4/mmm
E_form (uncorrected) = -26.2 kJ/mol of atoms
DFT total energy = -29.4 eV for the cell shown